[1]
Below is a crystal of MnBeTl2 relaxed with PBEsol, with properties calculated at the meta-GGA SCAN level.

Results
**Energy above the lowest structure with this stoichiometry**: 0.212 eV/atom
**Formation energy from the elements**: 0.48 eV/atom

```
data_MnBeTl2
_symmetry_space_group_name_H-M 'I -4 m 2'
_symmetry_Int_Tables_number 119
_symmetry_space_group_name_Hall 'I -4 -2'
_cell_length_a 3.953
_cell_length_b 3.953
_cell_length_c 9.249
_cell_angle_alpha 90.00
_cell_angle_beta 90.00
_cell_angle_gamma 90.00
loop_
_atom_site_label
_atom_site_fract_x
_atom_site_fract_y
_atom_site_fract_z
Mn1 0.000 0.000 0.000
Be1 0.000 0.500 0.750
Tl1 0.000 0.000 0.500
Tl2 0.000 0.500 0.250
```


[2]
Below is a crystal of Cr4TcSe relaxed with PBEsol, with properties calculated at the meta-GGA SCAN level.

Results
**ΔE_f (raw)**: 0.506 eV/atom

```
data_Cr4TcSe
_symmetry_space_group_name_H-M 'F -4 3 m'
_symmetry_Int_Tables_number 216
_symmetry_space_group_name_Hall 'F -4 2 3'
_cell_length_a 6.690
_cell_length_b 6.690
_cell_length_c 6.690
_cell_angle_alpha 90.00
_cell_angle_beta 90.00
_cell_angle_gamma 90.00
loop_
_atom_site_label
_atom_site_fract_x
_atom_site_fract_y
_atom_site_fract_z
Cr1 0.124 0.124 0.376
Tc1 0.000 0.000 0.000
Se1 0.250 0.250 0.750
```


[3]
Below is a crystal of SnGeC2 relaxed with PBEsol, with properties calculated at the meta-GGA SCAN level.

Results
**Formation energy from the elements**: 2.30 eV/atom

```
data_SnGeC2
_symmetry_space_group_name_H-M 'F m -3 m'
_symmetry_Int_Tables_number 225
_symmetry_space_group_name_Hall '-F 4 2 3'
_cell_length_a 5.874
_cell_length_b 5.874
_cell_length_c 5.874
_cell_angle_alpha 90.00
_cell_angle_beta 90.00
_cell_angle_gamma 90.00
loop_
_atom_site_label
_atom_site_fract_x
_atom_site_fract_y
_atom_site_fract_z
Sn1 0.000 0.000 0.000
Ge1 0.000 0.000 0.500
C1 0.250 0.250 0.250
```


[4]
Below is a crystal of Mg3InBr relaxed with PBEsol, with properties calculated at the meta-GGA SCAN level.

Results
**ΔE_f (raw)**: 0.242 eV/atom

```
data_Mg3InBr
_symmetry_space_group_name_H-M 'P m -3 m'
_symmetry_Int_Tables_number 221
_symmetry_space_group_name_Hall '-P 4 2 3'
_cell_length_a 5.210
_cell_length_b 5.210
_cell_length_c 5.210
_cell_angle_alpha 90.00
_cell_angle_beta 90.00
_cell_angle_gamma 90.00
loop_
_atom_site_label
_atom_site_fract_x
_atom_site_fract_y
_atom_site_fract_z
Mg1 0.000 0.000 0.500
In1 0.500 0.500 0.500
Br1 0.000 0.000 0.000
```


[5]
Below is a crystal of TaCrW2 relaxed with PBEsol, with properties calculated at the meta-GGA SCAN level.

Results
**Energy above the lowest structure with this stoichiometry**: 0.000 eV/atom
**Formation energy from the elements**: -0.04 eV/atom

```
data_TaCrW2
_symmetry_space_group_name_H-M 'P 4 m m'
_symmetry_Int_Tables_number 99
_symmetry_space_group_name_Hall 'P 4 -2'
_cell_length_a 3.108
_cell_length_b 3.108
_cell_length_c 6.230
_cell_angle_alpha 90.00
_cell_angle_beta 90.00
_cell_angle_gamma 90.00
loop_
_atom_site_label
_atom_site_fract_x
_atom_site_fract_y
_atom_site_fract_z
Ta1 0.000 0.000 0.000
Cr1 0.500 0.500 0.755
W1 0.000 0.000 0.519
W2 0.500 0.500 0.266
```


[6]
Below is a crystal of Y2HfO5 relaxed with PBEsol, with properties calculated at the meta-GGA SCAN level.

Results
**Energy above the lowest structure with this stoichiometry**: 0.013 eV/atom
**ΔE_f (raw)**: -3.875 eV/atom

```
data_Y2HfO5
_symmetry_space_group_name_H-M 'C 1 2/c 1'
_symmetry_Int_Tables_number 15
_symmetry_space_group_name_Hall '-C 2yc'
_cell_length_a 11.722
_cell_length_b 5.446
_cell_length_c 7.578
_cell_angle_alpha 90.00
_cell_angle_beta 113.65
_cell_angle_gamma 90.00
loop_
_atom_site_label
_atom_site_fract_x
_atom_site_fract_y
_atom_site_fract_z
Y1 0.139 0.006 0.252
Hf1 0.000 0.500 0.000
O1 0.000 0.323 0.250
O2 0.074 0.173 0.957
O3 0.174 0.346 0.646
```


[7]
Below is a crystal of Sc2PBr relaxed with PBEsol, with properties calculated at the meta-GGA SCAN level.

Results
**ΔE_f (raw)**: -0.984 eV/atom

```
data_Sc2PBr
_symmetry_space_group_name_H-M 'I -4 2 d'
_symmetry_Int_Tables_number 122
_symmetry_space_group_name_Hall 'I -4 2bw'
_cell_length_a 5.909
_cell_length_b 5.909
_cell_length_c 11.852
_cell_angle_alpha 90.00
_cell_angle_beta 90.00
_cell_angle_gamma 90.00
loop_
_atom_site_label
_atom_site_fract_x
_atom_site_fract_y
_atom_site_fract_z
Sc1 0.219 0.250 0.125
P1 0.000 0.000 0.000
Br1 0.000 0.000 0.500
```


[8]
Below is a crystal of Zr2SbMo relaxed with PBEsol, with properties calculated at the meta-GGA SCAN level.

Results
**ΔE_f (raw)**: -0.418 eV/atom

```
data_Zr2SbMo
_symmetry_space_group_name_H-M 'P 4/m m m'
_symmetry_Int_Tables_number 123
_symmetry_space_group_name_Hall '-P 4 2'
_cell_length_a 3.585
_cell_length_b 3.585
_cell_length_c 6.118
_cell_angle_alpha 90.00
_cell_angle_beta 90.00
_cell_angle_gamma 90.00
loop_
_atom_site_label
_atom_site_fract_x
_atom_site_fract_y
_atom_site_fract_z
Zr1 0.000 0.000 0.240
Sb1 0.500 0.500 0.500
Mo1 0.500 0.500 0.000
```


[9]
Below is a crystal of HIr3Se relaxed with PBEsol, with properties calculated at the meta-GGA SCAN level.

```
data_HIr3Se
_symmetry_space_group_name_H-M 'P m -3 m'
_symmetry_Int_Tables_number 221
_symmetry_space_group_name_Hall '-P 4 2 3'
_cell_length_a 3.960
_cell_length_b 3.960
_cell_length_c 3.960
_cell_angle_alpha 90.00
_cell_angle_beta 90.00
_cell_angle_gamma 90.00
loop_
_atom_site_label
_atom_site_fract_x
_atom_site_fract_y
_atom_site_fract_z
H1 0.000 0.000 0.000
Ir1 0.000 0.000 0.500
Se1 0.500 0.500 0.500
```


[10]
Below is a crystal of La2MnIn relaxed with PBEsol, with properties calculated at the meta-GGA SCAN level.

Results
**Formation energy from the elements**: -0.31 eV/atom

```
data_La2MnIn
_symmetry_space_group_name_H-M 'I m m 2'
_symmetry_Int_Tables_number 44
_symmetry_space_group_name_Hall 'I 2 -2'
_cell_length_a 3.634
_cell_length_b 5.215
_cell_length_c 11.000
_cell_angle_alpha 90.00
_cell_angle_beta 90.00
_cell_angle_gamma 90.00
loop_
_atom_site_label
_atom_site_fract_x
_atom_site_fract_y
_atom_site_fract_z
La1 0.000 0.000 0.000
La2 0.000 0.500 0.203
Mn1 0.000 0.500 0.740
In1 0.000 0.000 0.425
```


[11]
Below is a crystal of Hf3HgC relaxed with PBEsol, with properties calculated at the meta-GGA SCAN level.

Results
**Energy above the lowest structure with this stoichiometry**: 0.000 eV/atom
**Formation energy from the elements**: -0.58 eV/atom

```
data_Hf3HgC
_symmetry_space_group_name_H-M 'P m -3 m'
_symmetry_Int_Tables_number 221
_symmetry_space_group_name_Hall '-P 4 2 3'
_cell_length_a 4.446
_cell_length_b 4.446
_cell_length_c 4.446
_cell_angle_alpha 90.00
_cell_angle_beta 90.00
_cell_angle_gamma 90.00
loop_
_atom_site_label
_atom_site_fract_x
_atom_site_fract_y
_atom_site_fract_z
Hf1 0.000 0.000 0.500
Hg1 0.500 0.500 0.500
C1 0.000 0.000 0.000
```


[12]
Below is a crystal of AlTl2Cd relaxed with PBEsol, with properties calculated at the meta-GGA SCAN level.

Results
**Formation energy from the elements**: 0.13 eV/atom

```
data_AlTl2Cd
_symmetry_space_group_name_H-M 'P 4 m m'
_symmetry_Int_Tables_number 99
_symmetry_space_group_name_Hall 'P 4 -2'
_cell_length_a 3.275
_cell_length_b 3.275
_cell_length_c 8.900
_cell_angle_alpha 90.00
_cell_angle_beta 90.00
_cell_angle_gamma 90.00
loop_
_atom_site_label
_atom_site_fract_x
_atom_site_fract_y
_atom_site_fract_z
Al1 0.000 0.000 0.000
Tl1 0.000 0.000 0.459
Tl2 0.500 0.500 0.762
Cd1 0.500 0.500 0.198
```


[13]
Below is a crystal of TaIrNF2 relaxed with PBEsol, with properties calculated at the meta-GGA SCAN level.

Results
**ΔE_f (raw)**: 0.600 eV/atom

```
data_TaIrNF2
_symmetry_space_group_name_H-M 'P 4/m m m'
_symmetry_Int_Tables_number 123
_symmetry_space_group_name_Hall '-P 4 2'
_cell_length_a 4.330
_cell_length_b 4.330
_cell_length_c 3.681
_cell_angle_alpha 90.00
_cell_angle_beta 90.00
_cell_angle_gamma 90.00
loop_
_atom_site_label
_atom_site_fract_x
_atom_site_fract_y
_atom_site_fract_z
Ta1 0.000 0.000 0.000
Ir1 0.500 0.500 0.500
N1 0.500 0.500 0.000
F1 0.000 0.500 0.500
```


[14]
Below is a crystal of CdIn2Ag relaxed with PBEsol, with properties calculated at the meta-GGA SCAN level.

Results
**Formation energy from the elements**: 0.05 eV/atom

```
data_CdIn2Ag
_symmetry_space_group_name_H-M 'R 3 m'
_symmetry_Int_Tables_number 160
_symmetry_space_group_name_Hall 'R 3 -2"'
_cell_length_a 3.2943
_cell_length_b 3.2943
_cell_length_c 27.4683
_cell_angle_alpha 90.00
_cell_angle_beta 90.00
_cell_angle_gamma 120.00
loop_
_atom_site_label
_atom_site_fract_x
_atom_site_fract_y
_atom_site_fract_z
Cd1 0.0000 0.0000 0.0000
In1 0.0000 0.0000 0.2462
In2 0.0000 0.0000 0.4883
Ag1 0.0000 0.0000 0.7436
```


[15]
Below is a crystal of CrNi2Ru relaxed with PBEsol, with properties calculated at the meta-GGA SCAN level.

Results
**Formation energy from the elements**: 0.09 eV/atom

```
data_CrNi2Ru
_symmetry_space_group_name_H-M 'P m m 2'
_symmetry_Int_Tables_number 25
_symmetry_space_group_name_Hall 'P 2 -2'
_cell_length_a 2.544
_cell_length_b 4.034
_cell_length_c 4.405
_cell_angle_alpha 90.00
_cell_angle_beta 90.00
_cell_angle_gamma 90.00
loop_
_atom_site_label
_atom_site_fract_x
_atom_site_fract_y
_atom_site_fract_z
Cr1 0.000 0.000 0.000
Ni1 0.500 0.000 0.511
Ni2 0.500 0.500 0.818
Ru1 0.000 0.500 0.319
```


[16]
Below is a crystal of BeSOF2 relaxed with PBEsol, with properties calculated at the meta-GGA SCAN level.

Results
**ΔE_f (raw)**: -1.369 eV/atom

```
data_BeSOF2
_symmetry_space_group_name_H-M 'P 4/m m m'
_symmetry_Int_Tables_number 123
_symmetry_space_group_name_Hall '-P 4 2'
_cell_length_a 3.107
_cell_length_b 3.107
_cell_length_c 6.001
_cell_angle_alpha 90.00
_cell_angle_beta 90.00
_cell_angle_gamma 90.00
loop_
_atom_site_label
_atom_site_fract_x
_atom_site_fract_y
_atom_site_fract_z
Be1 0.000 0.000 0.000
S1 0.500 0.500 0.500
O1 0.000 0.000 0.500
F1 0.000 0.500 0.000
```


[17]
Below is a crystal of NiMo2Ru relaxed with PBEsol, with properties calculated at the meta-GGA SCAN level.

Results
**Formation energy from the elements**: 0.05 eV/atom

```
data_NiMo2Ru
_symmetry_space_group_name_H-M 'C m m m'
_symmetry_Int_Tables_number 65
_symmetry_space_group_name_Hall '-C 2 2'
_cell_length_a 5.319
_cell_length_b 7.558
_cell_length_c 2.702
_cell_angle_alpha 90.00
_cell_angle_beta 90.00
_cell_angle_gamma 90.00
loop_
_atom_site_label
_atom_site_fract_x
_atom_site_fract_y
_atom_site_fract_z
Ni1 0.000 0.000 0.000
Mo1 0.250 0.250 0.500
Ru1 0.000 0.500 0.000
```


[18]
Below is a crystal of SrCaTa2 relaxed with PBEsol, with properties calculated at the meta-GGA SCAN level.

Results
**Energy above the lowest structure with this stoichiometry**: 0.249 eV/atom
**Formation energy from the elements**: 1.08 eV/atom

```
data_SrCaTa2
_symmetry_space_group_name_H-M 'C 1 2/m 1'
_symmetry_Int_Tables_number 12
_symmetry_space_group_name_Hall '-C 2y'
_cell_length_a 5.819
_cell_length_b 10.991
_cell_length_c 2.915
_cell_angle_alpha 90.00
_cell_angle_beta 98.02
_cell_angle_gamma 90.00
loop_
_atom_site_label
_atom_site_fract_x
_atom_site_fract_y
_atom_site_fract_z
Sr1 0.000 0.000 0.000
Ca1 0.000 0.500 0.000
Ta1 0.250 0.250 0.500
```


[19]
Below is a crystal of MoBr relaxed with PBEsol, with properties calculated at the meta-GGA SCAN level.

Results
**Energy above the lowest structure with this stoichiometry**: 1.212 eV/atom
**ΔE_f (raw)**: 1.270 eV/atom

```
data_MoBr
_symmetry_space_group_name_H-M 'I 41/a m d'
_symmetry_Int_Tables_number 141
_cell_length_a 4.123
_cell_length_b 4.123
_cell_length_c 8.073
_cell_angle_alpha 90.00
_cell_angle_beta 90.00
_cell_angle_gamma 90.00
loop_
_symmetry_equiv_pos_as_xyz
'x,y,z'
'-x,-y,-z'
'-y+1/4,x+3/4,z+1/4'
'y+1/4,-x+3/4,-z+1/4'
'-x+1/2,-y,z+1/2'
'x+1/2,y,-z+1/2'
'y+1/4,-x+1/4,z+3/4'
'-y+1/4,x+1/4,-z+3/4'
'x,-y,-z'
'-x,y,z'
'-y+1/4,-x+1/4,-z+3/4'
'y+1/4,x+1/4,z+3/4'
'-x+1/2,y,-z+1/2'
'x+1/2,-y,z+1/2'
'y+1/4,x+3/4,-z+1/4'
'-y+1/4,-x+3/4,z+1/4'
'x+1/2,y+1/2,z+1/2'
'-x+1/2,-y+1/2,-z+1/2'
'-y+3/4,x+1/4,z+3/4'
'y+3/4,-x+1/4,-z+3/4'
'-x,-y+1/2,z'
'x,y+1/2,-z'
'y+3/4,-x+3/4,z+1/4'
'-y+3/4,x+3/4,-z+1/4'
'x+1/2,-y+1/2,-z+1/2'
'-x+1/2,y+1/2,z+1/2'
'-y+3/4,-x+3/4,-z+1/4'
'y+3/4,x+3/4,z+1/4'
'-x,y+1/2,-z'
'x,-y+1/2,z'
'y+3/4,x+1/4,-z+3/4'
'-y+3/4,-x+1/4,z+3/4'
loop_
_atom_site_label
_atom_site_fract_x
_atom_site_fract_y
_atom_site_fract_z
Mo1 0.000 0.250 0.375
Br1 0.000 0.250 0.875
```


[20]
Below is a crystal of Ce2MgZn relaxed with PBEsol, with properties calculated at the meta-GGA SCAN level.

Results
**Formation energy from the elements**: -0.11 eV/atom

```
data_Ce2MgZn
_symmetry_space_group_name_H-M 'P 4/m m m'
_symmetry_Int_Tables_number 123
_symmetry_space_group_name_Hall '-P 4 2'
_cell_length_a 3.807
_cell_length_b 3.807
_cell_length_c 6.751
_cell_angle_alpha 90.00
_cell_angle_beta 90.00
_cell_angle_gamma 90.00
loop_
_atom_site_label
_atom_site_fract_x
_atom_site_fract_y
_atom_site_fract_z
Ce1 0.000 0.000 0.207
Mg1 0.500 0.500 0.500
Zn1 0.500 0.500 0.000
```


no.,Fermi-level density of states (states/eV/f.u.),calculated total energy (eV per cell)
1,1.86,-330.78
2,7.37,-502.56
3,1.97,-263.96
4,2.59,-66.55
5,2.14,-224.50
6,0.00,-722.07
7,2.31,-249.07
8,2.35,-135.22
9,3.37,-233.36
10,2.94,-278.14
11,1.88,-269.18
12,1.41,-182.36
13,3.19,-151.05
14,1.21,-385.10
15,4.19,-85.21
16,2.06,-34.14
17,2.68,-241.16
18,5.35,-321.54
19,1.33,-207.22
20,4.57,-108.07